{"formula": "YEr2O3", "functional": "PBE", "state": "relaxed", "lattice_angstrom": [[3.8728, 0.0000, 0.0000], [-1.9364, 3.3540, 0.0000], [0.0000, 0.0000, 9.5025]], "species": ["Y", "Er", "Er", "O", "O", "O"], "frac_coords": [[0.0000, 0.0000, 0.0000], [0.3333, 0.6667, 0.6659], [0.6667, 0.3333, 0.3341], [0.0000, 0.0000, 0.5000], [0.3333, 0.6667, 0.1704], [0.6667, 0.3333, 0.8296]], "dft_energy_ev_per_atom": -7.17, "vol_a3_per_atom": 20.572, "magnetic_moment_mub_per_cell": 0.01}